Tb2Mn12P7: optimized geometry, PBE.

Values from the calculation:
- V (A^3/atom) = 12.862
- crystal system = hexagonal
- electronic total energy (Ry per atom) = -0.6013
- Fermi-level density of states (states/eV/atom) = 0.75
- calculated formation energy (eV per atom) = -0.70
- space-group type = No. 174

Unit cell a=3.6087 b=9.2967 c=9.2967 alpha=120.00 beta=90.00 gamma=90.00
Site moments in Bohr magnetons follow the coordinates.
Sites, in units of the cell vectors:
Tb 0.5000 0.3333 0.6667  -0.09
Mn 0.0000 0.2758 0.1567  -0.54
P 0.5000 0.4069 0.1274  -0.04
Mn 0.5000 0.9557 0.5619  1.78
Mn 0.0000 0.3754 0.9516  1.56
Mn 0.5000 0.7729 0.8767  2.57
Mn 0.0000 0.0484 0.4238  1.56
P 0.0000 0.1190 0.7082  -0.06
Mn 0.5000 0.1233 0.8962  2.57
P 0.0000 0.0000 0.0000  -0.02
P 0.0000 0.2918 0.4108  -0.06
Mn 0.0000 0.8433 0.1191  -0.54
Tb 0.0000 0.6667 0.3333  -0.08
P 0.0000 0.5892 0.8810  -0.06
Mn 0.5000 0.1038 0.2271  2.57
Mn 0.0000 0.5762 0.6246  1.56
P 0.5000 0.7205 0.5931  -0.04
Mn 0.0000 0.8809 0.7242  -0.54
Mn 0.5000 0.6062 0.0443  1.78
P 0.5000 0.8726 0.2795  -0.04
Mn 0.5000 0.4381 0.3938  1.78